This record from Alexandria describes MnV2ReO8 after structural relaxation. The functional is GGA+U.

Computed properties:
The space group is Cmmm (65). For the theoretical density, the calculation gives 5.947 g/cm³. As for the crystal system: orthorhombic. For the final energy, the calculation gives -7.9934 eV/atom.

Geometry as extended XYZ:
```
12
Lattice="4.6033 -0.0154 -0.0031 0.0137 4.5998 -0.0053 0.0043 0.0073 6.2111" Properties=species:S:1:pos:R:3 pbc="T T T"
Mn 0.0022 0.0037 3.1056
V 2.3117 2.2976 4.6047
V 2.3096 2.2941 1.5980
Re 0.0000 0.0000 0.0000
O 0.9527 3.6537 1.3842
O 3.2525 3.2368 6.2051
O 3.6662 0.9340 1.3856
O 3.6686 0.9381 4.8185
O 1.3689 1.3549 -0.0024
O 0.9552 3.6578 4.8172
O 3.1798 3.1633 3.0998
O 1.4416 1.4284 3.1030
```